(1)
A plane-wave DFT calculation with PBE-GGA was carried out for a relaxed structure of Pr2TlHg3.

Unit cell a=10.150 b=9.510 c=6.245 alpha=77.15 beta=65.99 gamma=36.86
Positions (direct):
Pr (0.247, 0.753, 0.753)
Pr (0.250, 0.250, 0.250)
Pr (0.750, 0.750, 0.750)
Pr (0.753, 0.247, 0.247)
Tl (0.333, 0.333, 0.667)
Tl (0.667, 0.667, 0.333)
Hg (0.165, 0.165, 0.835)
Hg (0.166, 0.669, 0.331)
Hg (0.331, 0.834, 0.166)
Hg (0.669, 0.166, 0.834)
Hg (0.834, 0.331, 0.669)
Hg (0.835, 0.835, 0.165)

calculated volume = 324.4 Å³/cell
DFT total energy = -2.531 eV/atom
mass density = 11.138 g/cm3
total magnetic moment = 0.000 μB per atom
crystal system = orthorhombic
Fermi-level density of states = 0.77 states/eV per atom

=====

(2)
A plane-wave DFT calculation with PBE-GGA was carried out for a relaxed structure of Mg2Cu2P2H12O15.

Unit cell a=11.526 b=11.526 c=10.576 alpha=100.35 beta=100.35 gamma=25.62
Positions (direct):
Mg (0.038, 0.724, 0.536)
Mg (0.276, 0.962, 0.964)
Mg (0.724, 0.038, 0.036)
Mg (0.962, 0.276, 0.464)
Cu (0.103, 0.391, 0.368)
Cu (0.391, 0.103, 0.868)
Cu (0.609, 0.897, 0.132)
Cu (0.897, 0.609, 0.632)
P (0.173, 0.519, 0.228)
P (0.481, 0.827, 0.272)
P (0.519, 0.173, 0.728)
P (0.827, 0.481, 0.772)
H (0.031, 0.160, 0.168)
H (0.137, 0.326, 0.072)
H (0.160, 0.031, 0.668)
H (0.167, 0.759, 0.234)
H (0.205, 0.781, 0.931)
H (0.211, 0.578, 0.912)
H (0.219, 0.795, 0.569)
H (0.241, 0.833, 0.266)
H (0.326, 0.137, 0.572)
H (0.422, 0.541, 0.642)
H (0.422, 0.789, 0.588)
H (0.459, 0.578, 0.858)
H (0.541, 0.422, 0.142)
H (0.578, 0.211, 0.412)
H (0.578, 0.459, 0.358)
H (0.674, 0.863, 0.428)
H (0.759, 0.167, 0.734)
H (0.781, 0.205, 0.431)
H (0.789, 0.422, 0.088)
H (0.795, 0.219, 0.069)
H (0.833, 0.241, 0.766)
H (0.840, 0.969, 0.332)
H (0.863, 0.674, 0.928)
H (0.969, 0.840, 0.832)
O (0.008, 0.438, 0.788)
O (0.009, 0.218, 0.809)
O (0.048, 0.777, 0.922)
O (0.154, 0.273, 0.522)
O (0.218, 0.009, 0.309)
O (0.223, 0.952, 0.578)
O (0.251, 0.687, 0.590)
O (0.260, 0.470, 0.372)
O (0.273, 0.154, 0.022)
O (0.277, 0.413, 0.643)
O (0.313, 0.749, 0.910)
O (0.314, 0.686, 0.250)
O (0.413, 0.277, 0.143)
O (0.438, 0.008, 0.288)
O (0.470, 0.260, 0.872)
O (0.530, 0.740, 0.128)
O (0.562, 0.992, 0.712)
O (0.587, 0.723, 0.857)
O (0.686, 0.314, 0.750)
O (0.687, 0.251, 0.090)
O (0.723, 0.587, 0.357)
O (0.727, 0.846, 0.978)
O (0.740, 0.530, 0.628)
O (0.749, 0.313, 0.410)
O (0.777, 0.048, 0.422)
O (0.782, 0.991, 0.691)
O (0.846, 0.727, 0.478)
O (0.952, 0.223, 0.078)
O (0.991, 0.782, 0.191)
O (0.992, 0.562, 0.212)

calculated volume = 597.0 Å³/cell
DFT total energy = -5.635 eV/atom
mass density = 2.724 g/cm3
total magnetic moment = 0.061 μB per atom
crystal system = monoclinic
Fermi-level density of states = 0.00 states/eV per atom